1.
# Mn2FeTeO6 PBE with a Hubbard U relaxed
# - crystal system = triclinic
# - total energy (eV per atom) = -6.6734
data_Mn2FeTeO6
_symmetry_space_group_name_H-M 'P 1'
_symmetry_Int_Tables_number 1
_cell_length_a 5.283
_cell_length_b 5.408
_cell_length_c 5.656
_cell_angle_alpha 117.27
_cell_angle_beta 90.63
_cell_angle_gamma 118.33
loop_
_symmetry_equiv_pos_as_xyz
'x,y,z'
loop_
_atom_site_label
_atom_site_fract_x
_atom_site_fract_y
_atom_site_fract_z
_atom_site_occupancy
Mn1 0.000 0.000 0.000 1
Mn2 0.487 0.968 0.457 1
Fe1 0.280 0.553 0.842 1
Te1 0.796 0.575 0.376 1
O1 0.068 0.465 0.159 1
O2 0.190 0.046 0.646 1
O3 0.401 0.095 0.198 1
O4 0.590 0.786 0.652 1
O5 0.671 0.777 0.171 1
O6 0.889 0.478 0.659 1

---

2.
# Ti2MnFeO6 PBE with a Hubbard U relaxed
# - crystal system = triclinic
# - total energy (eV per atom) = -8.3350
data_Ti2MnFeO6
_symmetry_space_group_name_H-M 'P 1'
_symmetry_Int_Tables_number 1
_cell_length_a 5.160
_cell_length_b 5.162
_cell_length_c 5.624
_cell_angle_alpha 91.00
_cell_angle_beta 116.47
_cell_angle_gamma 119.68
loop_
_symmetry_equiv_pos_as_xyz
'x,y,z'
loop_
_atom_site_label
_atom_site_fract_x
_atom_site_fract_y
_atom_site_fract_z
_atom_site_occupancy
Ti1 0.000 0.000 0.000 1
Ti2 0.416 0.706 0.126 1
Mn1 0.428 0.213 0.637 1
Fe1 0.995 0.495 0.496 1
O1 0.180 0.887 0.819 1
O2 0.218 0.807 0.293 1
O3 0.487 0.417 0.291 1
O4 0.538 0.642 0.828 1
O5 0.873 0.079 0.294 1
O6 0.933 0.290 0.830 1

---

3.
# UMnFe2O8 PBE with a Hubbard U relaxed
# - crystal system = orthorhombic
# - total energy (eV per atom) = -7.7378
data_UMnFe2O8
_symmetry_space_group_name_H-M 'C m m m'
_symmetry_Int_Tables_number 65
_symmetry_space_group_name_Hall '-C 2 2'
_cell_length_a 6.602
_cell_length_b 6.720
_cell_length_c 6.264
_cell_angle_alpha 90.00
_cell_angle_beta 90.00
_cell_angle_gamma 90.00
loop_
_atom_site_label
_atom_site_fract_x
_atom_site_fract_y
_atom_site_fract_z
_atom_site_occupancy
U1 0.000 0.000 0.000 1
Mn1 0.000 0.000 0.500 1
Fe1 0.000 0.500 0.269 1
O1 0.000 0.192 0.266 1
O2 0.189 0.500 0.000 1
O3 0.202 0.500 0.500 1

---

4.
# UMnFeO6 PBE with a Hubbard U relaxed
# - crystal system = trigonal
# - total energy (eV per atom) = -8.0066
data_UMnFeO6
_symmetry_space_group_name_H-M 'P -3 1 c'
_symmetry_Int_Tables_number 163
_symmetry_space_group_name_Hall '-P 3 2c'
_cell_length_a 5.2752
_cell_length_b 5.2752
_cell_length_c 9.1486
_cell_angle_alpha 90.00
_cell_angle_beta 90.00
_cell_angle_gamma 120.00
loop_
_atom_site_label
_atom_site_fract_x
_atom_site_fract_y
_atom_site_fract_z
_atom_site_occupancy
U1 0.3333 0.6667 0.2500 1
Mn1 0.0000 0.0000 0.0000 1
Fe1 0.3333 0.6667 0.7500 1
O1 0.0186 0.3552 0.6345 1